Model a:
! PBE Li4ZnPb, optimized geometry; values from VASP
&SYSTEM
  ibrav = 0, nat = 6, ntyp = 3
/
ATOMIC_SPECIES
Li 6.94 Li.upf
Zn 65.41 Zn.upf
Pb 207.20 Pb.upf
ATOMIC_POSITIONS crystal
Li 0.125 0.125 0.125
Li 0.125 0.125 0.625
Li 0.125 0.625 0.125
Li 0.625 0.125 0.125
Zn 0.500 0.500 0.500
Pb 0.750 0.750 0.750
CELL_PARAMETERS angstrom
0.000 3.797 3.797
3.797 0.000 3.797
3.797 3.797 0.000
! * Fermi-level density of states: 0.391 states/eV per atom
! * V: 110 Å³/cell

=====

Model b:
! PBE Li4ZnPb, optimized geometry; values from VASP
&SYSTEM
  ibrav = 0, nat = 12, ntyp = 3
/
ATOMIC_SPECIES
Li 6.94 Li.upf
Zn 65.41 Zn.upf
Pb 207.20 Pb.upf
ATOMIC_POSITIONS crystal
Li 0.097 0.641 0.369
Li 0.177 0.823 0.000
Li 0.318 0.318 0.817
Li 0.359 0.903 0.631
Li 0.641 0.097 0.369
Li 0.682 0.682 0.183
Li 0.823 0.177 0.000
Li 0.903 0.359 0.631
Zn 0.500 0.500 0.255
Zn 0.500 0.500 0.745
Pb 0.194 0.194 0.194
Pb 0.806 0.806 0.806
CELL_PARAMETERS angstrom
7.213 -3.410 0.000
7.213 3.410 0.000
-1.661 0.000 4.618
! * Fermi-level density of states: 0.242 states/eV per atom
! * V: 227 Å³/cell

=====

Stability summary: most stable model b, least stable model a.